[1]
5
Lattice="4.885 0.000 0.000 0.000 4.885 0.000 0.000 0.000 4.885" Properties=species:S:1:pos:R:3 comment="NbHI3 PBEsol relaxed" dft_energy_ev_per_atom=-2.95 density_g_cm3=6.761 space_group="Pm-3m, No. 221" crystal_system=cubic dos_at_fermi_per_ev_fu=2.59 pbc="T T T"
Nb 0.000 0.000 0.000
H 2.442 2.442 2.442
I 0.000 2.442 2.442
I 2.442 0.000 2.442
I 2.442 2.442 0.000

***

[2]
72
Lattice="11.294 0.000 0.000 0.000 15.519 0.000 0.000 0.000 13.469" Properties=species:S:1:pos:R:3 comment="Nb6HI11 PBEsol relaxed" density_g_cm3=5.499 space_group="Pccn, No. 56" crystal_system=orthorhombic relative_energy_mev_per_atom=3.3 dos_at_fermi_per_ev_fu=6.71 pbc="T T T"
Nb 0.797 0.789 1.692
Nb 0.797 6.971 8.426
Nb 1.148 9.386 7.077
Nb 1.148 13.892 0.343
Nb 1.530 0.775 12.352
Nb 1.530 6.984 5.618
Nb 4.117 0.775 5.618
Nb 4.117 6.984 12.352
Nb 4.499 9.386 0.343
Nb 4.499 13.892 7.077
Nb 4.850 0.789 8.426
Nb 4.850 6.971 1.692
Nb 6.444 8.548 11.777
Nb 6.444 14.730 5.043
Nb 6.795 1.626 6.392
Nb 6.795 6.133 13.126
Nb 7.177 8.534 1.117
Nb 7.177 14.744 7.851
Nb 9.764 8.534 7.851
Nb 9.764 14.744 1.117
Nb 10.146 1.626 13.126
Nb 10.146 6.133 6.392
Nb 10.497 8.548 5.043
Nb 10.497 14.730 11.777
H 0.000 0.000 0.000
H 0.000 7.759 6.734
H 5.647 0.000 6.734
H 5.647 7.759 0.000
I 0.298 9.426 9.813
I 0.298 13.852 3.078
I 1.092 3.269 0.281
I 1.092 4.490 7.016
I 1.783 9.517 4.307
I 1.783 13.761 11.041
I 1.908 1.940 4.103
I 1.908 5.819 10.837
I 2.230 0.040 7.600
I 2.230 7.720 0.866
I 2.823 11.639 1.041
I 2.823 11.639 7.775
I 3.417 0.040 0.866
I 3.417 7.720 7.600
I 3.739 1.940 10.837
I 3.739 5.819 4.103
I 3.864 9.517 11.041
I 3.864 13.761 4.307
I 4.555 3.269 7.016
I 4.555 4.490 0.281
I 5.349 9.426 3.078
I 5.349 13.852 9.813
I 5.945 1.667 3.656
I 5.945 6.093 10.391
I 6.739 11.029 13.188
I 6.739 12.249 6.453
I 7.430 1.758 9.162
I 7.430 6.002 2.428
I 7.555 9.699 9.366
I 7.555 13.579 2.632
I 7.877 7.799 5.869
I 7.877 15.479 12.603
I 8.470 3.880 5.694
I 8.470 3.880 12.428
I 9.064 7.799 12.603
I 9.064 15.479 5.869
I 9.386 9.699 2.632
I 9.386 13.579 9.366
I 9.511 1.758 2.428
I 9.511 6.002 9.162
I 10.202 11.029 6.453
I 10.202 12.249 13.188
I 10.996 1.667 10.391
I 10.996 6.093 3.656

***

[3]
5
Lattice="5.421 0.000 0.000 0.000 5.421 0.000 0.000 0.000 3.799" Properties=species:S:1:pos:R:3 comment="NbTeHI2 PBEsol relaxed" dft_energy_ev_per_atom=-3.47 density_g_cm3=7.070 space_group="P4/mmm, No. 123" crystal_system=tetragonal dos_at_fermi_per_ev_fu=3.27 pbc="T T T"
Nb 0.000 0.000 0.000
Te 2.711 2.711 0.000
H 2.711 2.711 1.899
I 0.000 2.711 1.899
I 2.711 0.000 1.899

***

[4]
5
Lattice="4.869 0.000 0.000 0.000 4.869 0.000 0.000 0.000 4.869" Properties=species:S:1:pos:R:3 comment="NiHI3 PBEsol relaxed" dft_energy_ev_per_atom=-1.87 density_g_cm3=6.335 space_group="Pm-3m, No. 221" crystal_system=cubic dos_at_fermi_per_ev_fu=9.05 pbc="T T T"
Ni 0.000 0.000 0.000
H 2.435 2.435 2.435
I 0.000 2.435 2.435
I 2.435 0.000 2.435
I 2.435 2.435 0.000

***

[5]
58
Lattice="5.022 0.000 0.000 0.000 9.643 0.000 -4.517 0.000 9.225" Properties=species:S:1:pos:R:3 comment="NiH15IO12 PBEsol relaxed" dft_energy_ev_per_atom=-5.05 density_g_cm3=2.919 space_group="Pc, No. 7" crystal_system=monoclinic pbc="T T T"
Ni 0.000 2.032 0.000
Ni -2.258 7.612 4.612
H -3.689 4.076 7.714
H -1.431 5.567 3.102
H -0.928 1.129 2.288
H -3.187 8.514 6.901
H -3.148 2.618 7.122
H -0.890 7.025 2.509
H -0.866 3.565 2.490
H -3.125 6.078 7.102
H -0.713 0.118 4.511
H -2.972 9.525 9.124
H 0.959 4.180 1.328
H -1.299 5.463 5.941
H 1.263 2.830 2.153
H -0.995 6.813 6.766
H -1.909 3.155 8.655
H 0.349 6.488 4.042
H -0.933 1.297 7.101
H 1.325 8.346 2.489
H 0.815 1.796 3.792
H -1.444 7.847 8.404
H 2.456 0.949 0.684
H 0.196 3.727 5.304
H 2.454 5.916 0.692
H 0.198 8.695 5.297
H 1.985 0.014 3.142
H -0.273 9.629 7.754
H 3.693 4.211 0.023
H 1.435 5.432 4.635
H 2.090 0.152 5.945
H 4.348 9.491 1.332
I -2.009 2.757 4.567
I -4.268 6.886 9.180
O -3.387 3.150 7.952
O -1.128 6.493 3.340
O -2.330 1.679 6.035
O -0.071 7.964 1.423
O -0.671 1.638 3.905
O -2.929 8.005 8.517
O 0.575 3.288 1.593
O -1.683 6.355 6.206
O 1.627 0.854 0.130
O -0.631 8.789 4.743
O -0.799 3.861 5.582
O 1.459 5.782 0.969
O -1.071 3.235 9.204
O 1.188 6.408 4.592
O 1.791 1.715 3.434
O -0.468 7.928 8.047
O -0.142 0.964 7.613
O 2.116 8.679 3.001
O 1.652 3.912 4.981
O 3.910 5.731 0.368
O 4.022 0.811 1.337
O 1.763 8.832 5.950
O 3.332 3.888 2.992
O 1.073 5.756 7.604

***

[6]
5
Lattice="3.700 0.000 0.000 0.000 3.700 0.000 0.000 0.000 5.839" Properties=species:S:1:pos:R:3 comment="HOsIO2 PBEsol relaxed" dft_energy_ev_per_atom=-5.69 density_g_cm3=7.275 space_group="P4/mmm, No. 123" crystal_system=tetragonal dos_at_fermi_per_ev_fu=2.08 pbc="T T T"
H 0.000 0.000 0.000
Os 1.850 1.850 2.920
I 1.850 1.850 0.000
O 0.000 1.850 2.920
O 1.850 0.000 2.920

***

[7]
16
Lattice="7.707 0.000 0.000 0.000 4.154 0.000 0.000 0.000 10.444" Properties=species:S:1:pos:R:3 comment="HPbIO PBEsol relaxed" dft_energy_ev_per_atom=-4.52 density_g_cm3=6.976 space_group="Pnma, No. 62" crystal_system=orthorhombic dos_at_fermi_per_ev_fu=0.00 pbc="T T T"
H 1.510 1.038 1.153
H 2.343 3.115 6.375
H 5.363 1.038 4.069
H 6.197 3.115 9.291
Pb 1.428 3.115 9.593
Pb 2.425 1.038 4.371
Pb 5.282 3.115 6.073
Pb 6.279 1.038 0.851
I 0.380 1.038 7.087
I 3.473 3.115 1.865
I 4.233 1.038 8.579
I 7.327 3.115 3.357
O 0.913 1.038 0.371
O 2.941 3.115 5.593
O 4.766 1.038 4.851
O 6.794 3.115 10.073

***

[8]
5
Lattice="5.655 0.000 0.000 0.000 5.655 0.000 0.000 0.000 3.685" Properties=species:S:1:pos:R:3 comment="HPtI2O PBEsol relaxed" dft_energy_ev_per_atom=-3.34 density_g_cm3=6.566 space_group="P4/mmm, No. 123" crystal_system=tetragonal dos_at_fermi_per_ev_fu=3.94 pbc="T T T"
H 0.000 0.000 0.000
Pt 2.827 2.827 1.843
I 0.000 2.827 1.843
I 2.827 0.000 1.843
O 2.827 2.827 0.000

***

[9]
5
Lattice="3.971 0.000 0.000 0.000 3.971 0.000 0.000 0.000 3.466" Properties=species:S:1:pos:R:3 comment="HRhIO2 PBEsol relaxed" dft_energy_ev_per_atom=-3.77 density_g_cm3=7.985 space_group="P4/mmm, No. 123" crystal_system=tetragonal dos_at_fermi_per_ev_fu=3.97 pbc="T T T"
H 0.000 0.000 0.000
Rh 1.986 1.986 1.733
I 0.000 0.000 1.733
O 0.000 1.986 0.000
O 1.986 0.000 0.000

***

[10]
5
Lattice="5.477 0.000 0.000 0.000 5.477 0.000 0.000 0.000 4.246" Properties=species:S:1:pos:R:3 comment="SbHI2O PBEsol relaxed" dft_energy_ev_per_atom=-2.74 density_g_cm3=5.119 space_group="P4/mmm, No. 123" crystal_system=tetragonal dos_at_fermi_per_ev_fu=3.35 pbc="T T T"
Sb 0.000 0.000 0.000
H 2.738 2.738 0.000
I 0.000 2.738 2.123
I 2.738 0.000 2.123
O 0.000 0.000 2.123

***

[11]
5
Lattice="5.987 0.000 0.000 0.000 5.987 0.000 0.000 0.000 3.768" Properties=species:S:1:pos:R:3 comment="ScHI2O PBEsol relaxed" dft_energy_ev_per_atom=-4.41 density_g_cm3=3.883 space_group="P4/mmm, No. 123" crystal_system=tetragonal dos_at_fermi_per_ev_fu=2.95 pbc="T T T"
Sc 0.000 0.000 0.000
H 2.993 2.993 1.884
I 0.000 2.993 0.000
I 2.993 0.000 0.000
O 0.000 0.000 1.884

***

[12]
24
Lattice="6.426 -3.825 0.000 6.426 3.825 0.000 -5.801 0.000 6.606" Properties=species:S:1:pos:R:3 comment="SrH2I2O7 PBEsol relaxed" dft_energy_ev_per_atom=-5.14 density_g_cm3=4.657 space_group="C2/c, No. 15" crystal_system=monoclinic dos_at_fermi_per_ev_fu=0.00 pbc="T T T"
Sr 2.075 2.617 4.955
Sr 4.976 -2.617 1.652
H 4.272 2.004 2.063
H 5.680 2.004 1.240
H 1.371 -2.004 5.366
H 2.780 -2.004 4.543
I -0.753 0.244 5.473
I 2.148 -0.244 2.170
I 4.904 0.244 4.436
I 7.804 -0.244 1.133
O 0.936 0.592 1.120
O 4.976 2.570 1.652
O -1.965 -0.592 4.423
O 0.469 0.638 4.173
O 2.968 1.263 2.877
O 3.369 -0.638 0.870
O 6.984 1.263 0.426
O 0.068 -1.263 6.180
O 3.682 0.638 5.736
O 4.083 -1.263 3.729
O 6.583 -0.638 2.433
O 9.017 0.592 2.183
O 2.075 -2.570 4.955
O 6.116 -0.592 5.486